DFT (PBE) results for a relaxed structure of La2CuOs.

Values from the calculation:
DFT formation energy (eV per atom): -0.1535
Symmetry: P2_1/m (11)
V (Å³/cell): 197
Total DFT energy (no corrections) (eV/atom): -6.449

Lattice parameters (Å, degrees): 6.062 4.240 8.170 90.00 110.26 90.00
Positions (direct):
1 La 0.219 0.250 0.442
2 La 0.228 0.250 0.919
3 La 0.772 0.750 0.081
4 La 0.781 0.750 0.558
5 Cu 0.356 0.750 0.214
6 Cu 0.644 0.250 0.786
7 Os 0.356 0.750 0.717
8 Os 0.644 0.250 0.283

DFT (PBE) results for a relaxed structure of TiNbTl3.

Values from the calculation:
DFT formation energy (eV per atom): 1.1354
Symmetry: Pm-3m (221)
V (Å³/cell): 147
Offset from the most stable computed form (meV/atom): 0.0
Total DFT energy (no corrections) (eV/atom): -3.877

Lattice parameters (Å, degrees): 5.283 5.283 5.283 90.00 90.00 90.00
Positions (direct):
1 Ti 0.000 0.000 0.000
2 Nb 0.500 0.500 0.500
3 Tl 0.000 0.000 0.500
4 Tl 0.000 0.500 0.000
5 Tl 0.500 0.000 0.000